# TiTe3Pb meta-GGA SCAN PBEsol geometry
data_TiTe3Pb
_chemical_formula_sum 'Ti1 Te3 Pb1'
_cell_length_a 5.300
_cell_length_b 5.300
_cell_length_c 5.300
_cell_angle_alpha 90.00
_cell_angle_beta 90.00
_cell_angle_gamma 90.00
_symmetry_space_group_name_H-M 'P 1'
_symmetry_Int_Tables_number 1
loop_
_symmetry_equiv_pos_as_xyz
'x,y,z'
loop_
_atom_site_label
_atom_site_type_symbol
_atom_site_fract_x
_atom_site_fract_y
_atom_site_fract_z
_atom_site_occupancy
Ti1 Ti 0.000 0.000 0.000 1
Te1 Te 0.000 0.500 0.000 1
Te2 Te 0.500 0.000 0.000 1
Te3 Te 0.000 0.000 0.500 1
Pb1 Pb 0.500 0.500 0.500 1
# Energy in Ha/atom: -1.501
# N(E_F) in states/eV/f.u.: 3.76
# Formation energy (no corrections) in eV per atom: -0.137